Record 1
A plane-wave DFT calculation with PBE was carried out for a relaxed K2NiAs crystal.

Lattice parameters (Å, degrees): 5.121 4.309 4.309 90.00 90.00 90.00
Fractional coordinates of all 4 atoms:
K: 0.000 0.500 0.500
K: 0.000 0.000 0.000
Ni: 0.500 0.500 0.000
As: 0.500 0.000 0.500

SG: P4/mmm, No. 123
total DFT energy (no corrections): -2.779 eV/atom



Record 2
A plane-wave DFT calculation with PBE was carried out for a relaxed ScReSb3 crystal.

Lattice parameters (Å, degrees): 5.207 5.207 5.207 90.00 90.00 90.00
Fractional coordinates of all 5 atoms:
Sb: 0.000 0.500 0.000
Sb: 0.000 0.000 0.500
Sb: 0.500 0.000 0.000
Re: 0.000 0.000 0.000
Sc: 0.500 0.500 0.500

E_form (uncorrected): 0.648 eV/atom
SG: Pm-3m, No. 221



Record 3
A plane-wave DFT calculation with PBE was carried out for a relaxed Ba3Ga6Au5 crystal.

Lattice parameters (Å, degrees): 4.572 11.404 13.207 90.00 90.00 90.00
Fractional coordinates of all 28 atoms:
Au: 0.500 0.484 0.381
Au: 0.500 0.145 0.829
Au: 0.000 0.855 0.329
Au: 0.500 0.145 0.171
Au: 0.500 0.484 0.619
Au: 0.000 0.516 0.119
Au: 0.000 0.905 0.000
Au: 0.500 0.095 0.500
Au: 0.000 0.516 0.881
Au: 0.000 0.855 0.671
Ga: 0.000 0.597 0.690
Ga: 0.500 0.505 0.000
Ga: 0.000 0.987 0.500
Ga: 0.500 0.403 0.810
Ga: 0.500 0.403 0.190
Ga: 0.500 0.990 0.324
Ga: 0.500 0.013 0.000
Ga: 0.000 0.597 0.310
Ga: 0.500 0.990 0.676
Ga: 0.000 0.010 0.824
Ga: 0.000 0.010 0.176
Ga: 0.000 0.495 0.500
Ba: 0.500 0.750 0.843
Ba: 0.500 0.747 0.500
Ba: 0.000 0.250 0.343
Ba: 0.500 0.750 0.157
Ba: 0.000 0.250 0.657
Ba: 0.000 0.253 0.000

SG: Pmmn, No. 59
total DFT energy (no corrections): -3.404 eV/atom



Record 4
A plane-wave DFT calculation with PBE was carried out for a relaxed AcPm2Pr2Er crystal.

Lattice parameters (Å, degrees): 5.839 7.296 10.093 90.00 90.00 90.00
Fractional coordinates of all 12 atoms:
Pr: 0.000 0.757 0.834
Pr: 0.500 0.008 0.000
Pr: 0.500 0.508 0.000
Pr: 0.000 0.257 0.166
Pm: 0.000 0.257 0.836
Pm: 0.000 0.757 0.164
Pm: 0.500 0.758 0.671
Pm: 0.500 0.258 0.329
Er: 0.500 0.258 0.667
Er: 0.500 0.758 0.333
Ac: 0.000 0.508 0.500
Ac: 0.000 0.008 0.500

SG: Pmma, No. 51
total DFT energy (no corrections): -4.562 eV/atom



Record 5
A plane-wave DFT calculation with PBE was carried out for a relaxed PbF5 crystal.

Lattice parameters (Å, degrees): 3.671 4.032 5.369 112.05 90.00 90.00
Fractional coordinates of all 6 atoms:
F: 0.500 0.500 0.000
F: 0.500 0.866 0.733
F: 0.000 0.370 0.741
F: 0.500 0.134 0.267
F: 0.000 0.630 0.259
Pb: 0.000 0.000 0.000

E_form (uncorrected): -1.176 eV/atom
SG: Cmmm, No. 65



Record 6
A plane-wave DFT calculation with PBE was carried out for a relaxed MnInHgW2 crystal.

Lattice parameters (Å, degrees): 4.510 5.000 4.510 90.00 90.00 90.00
Fractional coordinates of all 5 atoms:
Mn: 0.000 0.000 0.000
W: 0.000 0.000 0.500
W: 0.500 0.000 0.000
In: 0.500 0.500 0.500
Hg: 0.000 0.500 0.000

SG: P4/mmm, No. 123
total DFT energy (no corrections): -6.282 eV/atom



Record 7
A plane-wave DFT calculation with PBE was carried out for a relaxed LiNpIn2Au4 crystal.

Lattice parameters (Å, degrees): 4.778 4.778 8.723 74.10 74.10 60.00
Fractional coordinates of all 8 atoms:
In: 0.754 0.754 0.737
In: 0.246 0.246 0.263
Au: 0.870 0.870 0.389
Au: 0.387 0.387 0.838
Au: 0.130 0.130 0.611
Au: 0.613 0.613 0.162
Li: 0.500 0.500 0.500
Np: 0.000 0.000 0.000

SG: R-3m, No. 166
total DFT energy (no corrections): -4.473 eV/atom



Record 8
A plane-wave DFT calculation with PBE was carried out for a relaxed CsLi2Ti crystal.

Lattice parameters (Å, degrees): 5.772 5.772 5.772 60.00 60.00 60.00
Fractional coordinates of all 4 atoms:
Li: 0.750 0.750 0.750
Li: 0.250 0.250 0.250
Cs: 0.500 0.500 0.500
Ti: 0.000 0.000 0.000

SG: Fm-3m, No. 225
total DFT energy (no corrections): -2.223 eV/atom



Record 9
A plane-wave DFT calculation with PBE was carried out for a relaxed BaTcTeAs2 crystal.

Lattice parameters (Å, degrees): 5.812 5.482 5.812 90.00 90.00 90.00
Fractional coordinates of all 5 atoms:
As: 0.000 0.000 0.500
As: 0.500 0.000 0.000
Ba: 0.000 0.000 0.000
Te: 0.500 0.500 0.500
Tc: 0.000 0.500 0.000

E_form (uncorrected): 1.801 eV/atom
SG: P4/mmm, No. 123



Record 10
A plane-wave DFT calculation with PBE was carried out for a relaxed HfBe8Nb3 crystal.

Lattice parameters (Å, degrees): 4.691 4.691 7.489 90.00 90.00 120.00
Fractional coordinates of all 12 atoms:
Be: 0.677 0.838 0.245
Be: 0.162 0.838 0.245
Be: 0.333 0.667 0.499
Be: 0.989 0.494 0.755
Be: 0.162 0.323 0.245
Be: 0.506 0.494 0.755
Be: 0.506 0.011 0.755
Be: 0.333 0.667 0.999
Nb: 0.667 0.333 0.068
Nb: 0.000 0.000 0.935
Nb: 0.667 0.333 0.431
Hf: 0.000 0.000 0.567

SG: P3m1, No. 156
total DFT energy (no corrections): -6.001 eV/atom



Record 11
A plane-wave DFT calculation with PBE was carried out for a relaxed Hf2CrCo crystal.

Lattice parameters (Å, degrees): 3.182 3.182 6.367 90.00 90.00 90.00
Fractional coordinates of all 4 atoms:
Hf: 0.000 0.000 0.754
Hf: 0.000 0.000 0.246
Co: 0.500 0.500 0.000
Cr: 0.500 0.500 0.500

SG: P4/mmm, No. 123
total DFT energy (no corrections): -9.328 eV/atom



Record 12
A plane-wave DFT calculation with PBE was carried out for a relaxed DyYHoPu crystal.

Lattice parameters (Å, degrees): 5.581 5.581 5.581 60.00 60.00 60.00
Fractional coordinates of all 4 atoms:
Dy: 0.000 0.000 0.000
Pu: 0.750 0.750 0.750
Ho: 0.500 0.500 0.500
Y: 0.250 0.250 0.250

SG: F-43m, No. 216
total DFT energy (no corrections): -7.298 eV/atom



Record 13
A plane-wave DFT calculation with PBE was carried out for a relaxed KFeCo2Cl8 crystal.

Lattice parameters (Å, degrees): 6.223 6.223 9.207 85.93 85.94 68.83
Fractional coordinates of all 12 atoms:
Cl: 0.767 0.253 0.805
Cl: 0.747 0.233 0.195
Cl: 0.696 0.696 0.421
Cl: 0.253 0.767 0.805
Cl: 0.766 0.766 0.008
Cl: 0.233 0.747 0.195
Cl: 0.234 0.234 0.992
Cl: 0.304 0.304 0.579
Fe: 0.000 0.000 0.000
Co: 0.623 0.623 0.206
Co: 0.377 0.377 0.794
K: 0.000 0.000 0.500

E_form (uncorrected): -0.828 eV/atom
SG: C2/m, No. 12



Record 14
A plane-wave DFT calculation with PBE was carried out for a relaxed BaCu2Te crystal.

Lattice parameters (Å, degrees): 4.570 4.660 5.306 90.03 90.00 90.00
Fractional coordinates of all 4 atoms:
Te: 0.500 0.250 0.250
Cu: 0.000 0.250 0.979
Cu: 0.000 0.250 0.521
Ba: 0.500 0.750 0.750

E_form (uncorrected): -0.404 eV/atom
SG: Pmmm, No. 47



Record 15
A plane-wave DFT calculation with PBE was carried out for a relaxed SeCl2F2 crystal.

Lattice parameters (Å, degrees): 3.406 3.406 8.948 79.03 79.03 90.00
Fractional coordinates of all 5 atoms:
Se: 0.000 0.000 0.000
F: 0.431 0.431 0.137
F: 0.569 0.569 0.863
Cl: 0.750 0.250 0.500
Cl: 0.250 0.750 0.500

E_form (uncorrected): 0.160 eV/atom
SG: I4/mmm, No. 139



Record 16
A plane-wave DFT calculation with PBE was carried out for a relaxed PPt2Cl crystal.

Lattice parameters (Å, degrees): 6.245 6.245 6.025 58.79 58.79 90.00
Fractional coordinates of all 8 atoms:
Pt: 0.178 0.625 0.250
Pt: 0.375 0.428 0.750
Pt: 0.875 0.822 0.750
Pt: 0.572 0.125 0.250
Cl: 0.000 0.000 0.000
Cl: 0.750 0.250 0.500
P: 0.500 0.500 0.000
P: 0.250 0.750 0.500

E_form (uncorrected): -0.136 eV/atom
SG: I-42d, No. 122



Record 17
A plane-wave DFT calculation with PBE was carried out for a relaxed LaGe3Ir crystal.

Lattice parameters (Å, degrees): 5.372 5.372 5.372 90.00 90.00 90.00
Fractional coordinates of all 5 atoms:
Ge: 0.500 0.000 0.000
Ge: 0.000 0.500 0.000
Ge: 0.000 0.000 0.500
Ir: 0.500 0.500 0.500
La: 0.000 0.000 0.000

SG: Pm-3m, No. 221
total DFT energy (no corrections): -3.654 eV/atom



Record 18
A plane-wave DFT calculation with PBE was carried out for a relaxed Ac2La2Y crystal.

Lattice parameters (Å, degrees): 6.631 6.631 10.154 111.08 97.48 104.46
Fractional coordinates of all 10 atoms:
Ac: 0.783 0.184 0.648
Ac: 0.217 0.816 0.352
Ac: 0.536 0.635 0.852
Ac: 0.464 0.365 0.148
La: 0.092 0.757 0.986
La: 0.908 0.243 0.014
La: 0.229 0.394 0.486
La: 0.771 0.606 0.514
Y: 0.737 0.987 0.250
Y: 0.263 0.013 0.750

SG: C2/c, No. 15
total DFT energy (no corrections): -4.791 eV/atom



Record 19
A plane-wave DFT calculation with PBE was carried out for a relaxed Sm2CdIn8 crystal.

Lattice parameters (Å, degrees): 4.826 4.826 12.507 90.00 90.00 90.00
Fractional coordinates of all 11 atoms:
In: 0.000 0.500 0.500
In: 0.000 0.500 0.138
In: 0.000 0.500 0.862
In: 0.500 0.000 0.138
In: 0.500 0.500 0.682
In: 0.500 0.000 0.500
In: 0.500 0.500 0.318
In: 0.500 0.000 0.862
Cd: 0.000 0.000 0.000
Sm: 0.000 0.000 0.317
Sm: 0.000 0.000 0.683

SG: P4/mmm, No. 123
total DFT energy (no corrections): -3.208 eV/atom



Record 20
A plane-wave DFT calculation with PBE was carried out for a relaxed La6Bi3SbSe2 crystal.

Lattice parameters (Å, degrees): 7.915 7.915 7.901 99.61 99.61 120.00
Fractional coordinates of all 12 atoms:
Bi: 0.836 0.164 0.500
Bi: 0.500 0.500 0.500
Bi: 0.164 0.836 0.500
Se: 0.333 0.667 0.000
Se: 0.667 0.333 0.000
La: 0.419 0.080 0.240
La: 0.260 0.260 0.764
La: 0.740 0.740 0.236
La: 0.080 0.419 0.240
La: 0.581 0.920 0.760
La: 0.920 0.581 0.760
Sb: 0.000 0.000 0.000

E_form (uncorrected): -1.400 eV/atom
SG: C2/m, No. 12



Record 21
A plane-wave DFT calculation with PBE was carried out for a relaxed NdEr5Hg3 crystal.

Lattice parameters (Å, degrees): 6.918 9.051 9.050 120.00 90.00 90.00
Fractional coordinates of all 18 atoms:
Hg: 0.750 0.661 0.000
Hg: 0.750 0.000 0.661
Hg: 0.250 0.661 0.661
Hg: 0.750 0.339 0.339
Hg: 0.250 0.339 0.000
Hg: 0.250 0.000 0.339
Er: 0.500 0.667 0.333
Er: 0.750 0.000 0.332
Er: 0.250 0.000 0.668
Er: 0.500 0.333 0.667
Er: 0.250 0.332 0.332
Er: 0.000 0.667 0.333
Er: 0.750 0.332 0.000
Er: 0.750 0.668 0.668
Er: 0.000 0.333 0.667
Er: 0.250 0.668 0.000
Nd: 0.000 0.000 0.000
Nd: 0.500 0.000 0.000

SG: P6_3/mcm, No. 193
total DFT energy (no corrections): -3.460 eV/atom



Record 22
A plane-wave DFT calculation with PBE was carried out for a relaxed Li2Ca3Ga3 crystal.

Lattice parameters (Å, degrees): 3.702 5.160 10.218 79.72 79.48 90.05
Fractional coordinates of all 8 atoms:
Ga: 0.365 0.908 0.270
Ga: 0.500 0.500 0.000
Ga: 0.635 0.092 0.730
Li: 0.763 0.797 0.473
Li: 0.237 0.203 0.527
Ca: 0.872 0.409 0.255
Ca: 0.000 0.000 0.000
Ca: 0.128 0.591 0.745

SG: P-1, No. 2
total DFT energy (no corrections): -2.679 eV/atom



Record 23
A plane-wave DFT calculation with PBE was carried out for a relaxed BaGdZn2 crystal.

Lattice parameters (Å, degrees): 3.819 3.819 7.759 90.00 90.00 90.00
Fractional coordinates of all 4 atoms:
Gd: 0.500 0.500 0.000
Zn: 0.000 0.000 0.804
Zn: 0.000 0.000 0.196
Ba: 0.500 0.500 0.500

SG: P4/mmm, No. 123
total DFT energy (no corrections): -4.866 eV/atom



Record 24
A plane-wave DFT calculation with PBE was carried out for a relaxed YHf2Rh3 crystal.

Lattice parameters (Å, degrees): 3.279 3.279 10.349 90.00 90.00 90.00
Fractional coordinates of all 6 atoms:
Hf: 0.500 0.500 0.162
Hf: 0.500 0.500 0.838
Y: 0.500 0.500 0.500
Rh: 0.000 0.000 0.303
Rh: 0.000 0.000 0.697
Rh: 0.000 0.000 0.000

SG: P4/mmm, No. 123
total DFT energy (no corrections): -8.961 eV/atom